(1)
Entry from the Alexandria database: Sr2IrAu2 after structural relaxation (PBE).

a = 7.354 Å, b = 7.354 Å, c = 4.611 Å
α = 90.00°, β = 90.00°, γ = 90.00°
Sites, in units of the cell vectors:
1 Ir 0.000 0.000 0.000
2 Sr 0.178 0.678 0.500
3 Sr 0.822 0.322 0.500
4 Sr 0.678 0.822 0.500
5 Au 0.862 0.638 0.000
6 Sr 0.322 0.178 0.500
7 Au 0.638 0.138 0.000
8 Au 0.138 0.362 0.000
9 Ir 0.500 0.500 0.000
10 Au 0.362 0.862 0.000

Calculated total energy: -4.080 eV/atom
Formation energy: -324 meV/atom
Size of the total moment: 0.0 Bohr magnetons per cell
Density of states at the Fermi level: 5.08 states/eV/cell

=====

(2)
Entry from the Alexandria database: SrIrAu after structural relaxation (PBE).

a = 4.830 Å, b = 4.830 Å, c = 4.830 Å
α = 60.00°, β = 60.00°, γ = 60.00°
Sites, in units of the cell vectors:
1 Au 0.000 0.000 0.000
2 Sr 0.250 0.250 0.250
3 Ir 0.500 0.500 0.500

Calculated total energy: -3.805 eV/atom
Formation energy: 802 meV/atom
Size of the total moment: 0.2 Bohr magnetons per cell
Density of states at the Fermi level: 6.70 states/eV/cell
Excess energy over the best structure of this formula in the dataset: 1012.6 meV per atom

=====

(3)
Entry from the Alexandria database: SrIr2Au after structural relaxation (PBE).

a = 4.582 Å, b = 4.582 Å, c = 10.061 Å
α = 76.84°, β = 76.84°, γ = 90.00°
Sites, in units of the cell vectors:
1 Au 0.750 0.250 0.500
2 Sr 0.500 0.500 0.000
3 Sr 0.250 0.750 0.500
4 Ir 0.875 0.039 0.750
5 Ir 0.789 0.125 0.250
6 Ir 0.375 0.211 0.750
7 Ir 0.961 0.625 0.250
8 Au 0.000 0.000 0.000

Calculated total energy: -5.523 eV/atom
Formation energy: 147 meV/atom
Size of the total moment: 0.0 Bohr magnetons per cell
Density of states at the Fermi level: 8.03 states/eV/cell
Excess energy over the best structure of this formula in the dataset: 12.5 meV per atom

=====

Which of these has the highest calculated total energy?
SrIrAu